The following is a DFT calculation (GGA+U) of a geometry-optimized Na2CrF4 structure.

a b c (Å): 6.920 6.920 7.593
angles (deg): 90.00 90.00 90.00
Space group I4_1/amd (No. 141, origin choice 2)
One atom of each set of equivalent atoms:
Na  0.000  0.000  0.000 (multiplicity 8)
Cr  0.000  0.250  0.375 (multiplicity 4)
F  0.000  0.036  0.695 (multiplicity 16)

Computed properties:
- Energy above the most stable polymorph in this dataset: 1.11 kcal/mol of atoms
- ρ: 3.2 g/cm3